Entry 1:
# PmInI2 | the Alexandria database | PBE | relaxed
# * formation energy from raw total energies: -39 kJ per mole of atoms
data_PmInI2
_cell_length_a 4.2225
_cell_length_b 4.2225
_cell_length_c 32.7869
_cell_angle_alpha 90.00
_cell_angle_beta 90.00
_cell_angle_gamma 120.00
_space_group_name_H-M_alt 'R -3 m'
_space_group_IT_number 166
_space_group_name_Hall '-R 3 2"'
loop_
_atom_site_label
_atom_site_type_symbol
_atom_site_fract_x
_atom_site_fract_y
_atom_site_fract_z
Pm1 Pm 0.0000 0.0000 0.0000
In1 In 0.0000 0.0000 0.5000
I1 I 0.0000 0.0000 0.0927

***

Entry 2:
# Pm7InI12 | the Alexandria database | PBE | relaxed
# * formation energy from raw total energies: -117 kJ per mole of atoms
data_Pm7InI12
_cell_length_a 16.1993
_cell_length_b 16.1993
_cell_length_c 10.6698
_cell_angle_alpha 90.00
_cell_angle_beta 90.00
_cell_angle_gamma 120.00
_space_group_name_H-M_alt 'R -3'
_space_group_IT_number 148
_space_group_name_Hall '-R 3'
loop_
_atom_site_label
_atom_site_type_symbol
_atom_site_fract_x
_atom_site_fract_y
_atom_site_fract_z
Pm1 Pm 0.0000 0.0000 0.0000
Pm2 Pm 0.0495 0.1698 0.3380
In1 In 0.0000 0.0000 0.5000
I1 I 0.0243 0.5888 0.1671
I2 I 0.0530 0.1852 0.8412

***

Entry 3:
# PmIn5I8 | the Alexandria database | PBE | relaxed
# * formation energy from raw total energies: -67 kJ per mole of atoms
data_PmIn5I8
_cell_length_a 10.3459
_cell_length_b 10.3459
_cell_length_c 10.5386
_cell_angle_alpha 90.00
_cell_angle_beta 90.00
_cell_angle_gamma 90.00
_space_group_name_H-M_alt 'I -4'
_space_group_IT_number 82
loop_
_space_group_symop_operation_xyz
'x,y,z'
'y,-x,-z'
'-x,-y,z'
'-y,x,-z'
'x+1/2,y+1/2,z+1/2'
'y+1/2,-x+1/2,-z+1/2'
'-x+1/2,-y+1/2,z+1/2'
'-y+1/2,x+1/2,-z+1/2'
loop_
_atom_site_label
_atom_site_type_symbol
_atom_site_fract_x
_atom_site_fract_y
_atom_site_fract_z
Pm1 Pm 0.0000 0.0000 0.0000
In1 In 0.0000 0.5000 0.2500
In2 In 0.1423 0.7615 0.6188
I1 I 0.0657 0.8268 0.2704
I2 I 0.0684 0.7076 0.9277